Entry 1:
{
  "formula": "Pm2AsPd",
  "functional": "GGA-PBE",
  "state": "relaxed",
  "formation_energy_ev_per_atom": -0.8850,
  "m_tot_mub_per_atom": 0.217,
  "de_polymorph_ev_per_fu": 0.50,
  "dos_at_fermi_per_ev_atom": 0.935,
  "mass_density_g_cm3": 8.211,
  "lattice": [[-1.653, 3.111, -3.725], [1.418, -0.836, -4.856], [-3.429, -1.689, -3.418]],
  "species": ["Pm", "Pm", "Pd", "As"],
  "fractional_positions": [[0.750, 0.750, 0.750], [0.250, 0.250, 0.250], [0.000, 0.000, 0.000], [0.500, 0.500, 0.500]]
}

Entry 2:
{
  "formula": "Pm2As3Pd6",
  "functional": "GGA-PBE",
  "state": "relaxed",
  "formation_energy_ev_per_atom": -0.8000,
  "m_tot_mub_per_atom": 0.000,
  "dos_at_fermi_per_ev_atom": 0.489,
  "mass_density_g_cm3": 9.116,
  "lattice": [[-0.104, 0.615, -4.268], [-7.348, -1.499, -0.037], [2.385, 7.045, 0.957]],
  "species": ["Pd", "Pd", "Pd", "Pd", "Pd", "Pd", "As", "As", "As", "Pm", "Pm"],
  "fractional_positions": [[0.500, 0.300, 0.000], [0.500, 0.000, 0.300], [0.000, 0.000, 0.790], [0.500, 0.700, 0.700], [0.000, 0.790, 0.000], [0.000, 0.210, 0.210], [0.500, 0.371, 0.371], [0.500, 0.000, 0.629], [0.500, 0.629, 0.000], [0.000, 0.667, 0.333], [0.000, 0.333, 0.667]]
}

Entry 3:
{
  "formula": "PmAs3Pd5",
  "functional": "GGA-PBE",
  "state": "relaxed",
  "formation_energy_ev_per_atom": -0.5744,
  "m_tot_mub_per_atom": 0.000,
  "dos_at_fermi_per_ev_atom": 0.564,
  "mass_density_g_cm3": 8.979,
  "lattice": [[-1.038, 2.698, 2.690], [-3.918, -5.646, 1.252], [8.847, -4.403, 7.831]],
  "species": ["Pm", "Pm", "Pd", "Pd", "Pd", "Pd", "Pd", "Pd", "Pd", "Pd", "Pd", "Pd", "As", "As", "As", "As", "As", "As"],
  "fractional_positions": [[0.875, 0.750, 0.750], [0.125, 0.250, 0.250], [0.209, 0.417, 0.574], [0.436, 0.872, 0.358], [0.564, 0.128, 0.642], [0.000, 0.000, 0.500], [0.000, 0.000, 0.000], [0.791, 0.583, 0.426], [0.209, 0.417, 0.926], [0.564, 0.128, 0.858], [0.436, 0.872, 0.142], [0.791, 0.583, 0.074], [0.387, 0.775, 0.944], [0.387, 0.775, 0.556], [0.613, 0.225, 0.444], [0.128, 0.257, 0.750], [0.872, 0.743, 0.250], [0.613, 0.225, 0.056]]
}